Run A
PaInSn2, relaxed, DFT PBE; symmetry = Fm-3m
1.0
-3.924 -3.582 -0.242
1.060 -5.014 -1.422
-0.267 -3.899 3.606
In Sn Pa
1 2 1
direct
0.500 0.500 0.500
0.750 0.750 0.750
0.250 0.250 0.250
0.000 0.000 0.000


Run B
PaInSn2, relaxed, DFT PBE; symmetry = P4/mmm
1.0
-1.630 1.892 3.711
-4.359 -0.180 -1.822
-0.621 -4.280 1.909
Pa Sn In
1 2 1
direct
0.500 0.500 0.500
0.000 0.500 0.000
0.000 0.000 0.500
0.500 0.000 0.000


Run C
PaInSn2, relaxed, DFT PBE; symmetry = P4/mmm
1.0
3.977 0.000 0.000
0.000 3.977 0.000
0.000 0.000 6.557
Sn In Pa
2 1 1
direct
0.000 0.000 0.755
0.000 0.000 0.245
0.500 0.500 0.000
0.500 0.500 0.500


Bottom line: run B, by a margin of 200 meV per atom.


Run A
Tb2PaIn, relaxed, DFT PBE; symmetry = P4/mmm
1.0
4.574 0.000 0.000
0.000 4.871 0.000
0.000 0.000 4.871
Pa Tb In
1 2 1
direct
0.500 0.000 0.000
0.000 0.500 0.000
0.000 0.000 0.500
0.500 0.500 0.500


Run B
Tb2PaIn, relaxed, DFT PBE; symmetry = R-3m
1.0
3.407 0.000 0.000
1.703 2.951 0.000
1.703 0.984 11.889
Tb In Pa
2 1 1
direct
0.090 0.090 0.730
0.910 0.910 0.270
0.000 0.000 0.000
0.500 0.500 0.500


Run C
Tb2PaIn, relaxed, DFT PBE; symmetry = P4/mmm
1.0
3.457 0.000 0.000
0.000 3.457 0.000
0.000 0.000 9.244
Tb In Pa
2 1 1
direct
0.000 0.000 0.759
0.000 0.000 0.241
0.500 0.500 0.000
0.500 0.500 0.500


Bottom line: run C, by a margin of 66 meV per atom.


Run A
TbPaIn2, relaxed, DFT PBE; symmetry = P4/mmm
1.0
-1.743 -3.484 2.371
4.061 -0.323 2.512
-1.751 3.072 3.226
In Tb Pa
2 1 1
direct
0.000 0.500 0.000
0.000 0.000 0.500
0.500 0.000 0.000
0.500 0.500 0.500


Run B
TbPaIn2, relaxed, DFT PBE; symmetry = R-3m
1.0
-2.850 -1.694 -0.073
-0.526 -2.258 -2.371
3.327 -9.084 5.594
In Pa Tb
2 1 1
direct
0.749 0.749 0.752
0.251 0.251 0.248
0.500 0.500 0.500
0.000 0.000 0.000


Bottom line: run A, by a margin of 16 meV per atom.